# 1
Density functional theory data (GGA-PBE) for ZrSe2NO after structural relaxation.

Computed properties:
V, Å³ per cell: 114
E_form (uncorrected), kJ/mol of formula units: 325
Spin magnetization, μB/f.u.: 0.27
Energy relative to the lowest polymorph listed for this composition, eV per formula unit: 0.89

abc: 5.269 5.269 4.100
angles: 90.00 90.00 90.00
Fractional positions:
Zr: 0.000 0.000 0.000
Se: 0.000 0.500 0.000
Se: 0.500 0.000 0.000
N: 0.000 0.000 0.500
O: 0.500 0.500 0.500

# 2
Density functional theory data (GGA-PBE) for LiPm2Ag2 after structural relaxation.

Computed properties:
V, Å³ per cell: 261
Spin magnetization, μB/f.u.: 0.00
Energy relative to the lowest polymorph listed for this composition, eV per formula unit: 0.00

abc: 8.013 8.013 4.060
angles: 90.00 90.00 90.00
Fractional positions:
Li: 0.000 0.000 0.000
Li: 0.500 0.500 0.000
Pm: 0.168 0.332 0.500
Pm: 0.332 0.832 0.500
Pm: 0.668 0.168 0.500
Pm: 0.832 0.668 0.500
Ag: 0.130 0.630 0.000
Ag: 0.370 0.130 0.000
Ag: 0.630 0.870 0.000
Ag: 0.870 0.370 0.000

# 3
Density functional theory data (GGA-PBE) for LiPmSmAg after structural relaxation.

Computed properties:
Final energy, eV for the cell shown: -14.493
V, Å³ per cell: 105
Spin magnetization, μB/f.u.: 0.17

abc: 5.288 5.288 5.288
angles: 60.00 60.00 60.00
Fractional positions:
Li: 0.000 0.000 0.000
Pm: 0.250 0.250 0.250
Sm: 0.750 0.750 0.750
Ag: 0.500 0.500 0.500

# 4
Density functional theory data (GGA-PBE) for ScTlO after structural relaxation.

Computed properties:
V, Å³ per cell: 122
E_form (uncorrected), kJ/mol of formula units: -441
Spin magnetization, μB/f.u.: 0.00

abc: 3.202 3.648 10.441
angles: 90.00 90.00 90.00
Fractional positions:
Sc: 0.000 0.000 0.208
Sc: 0.000 0.000 0.792
Tl: 0.000 0.500 0.500
Tl: 0.500 0.500 0.000
O: 0.500 0.000 0.318
O: 0.500 0.000 0.682

# 5
Density functional theory data (GGA-PBE) for AgPd6Pb2 after structural relaxation.

Computed properties:
V, Å³ per cell: 157
Spin magnetization, μB/f.u.: 0.00
Energy relative to the lowest polymorph listed for this composition, eV per formula unit: 0.00

abc: 4.565 4.565 8.523
angles: 93.66 93.66 62.64
Fractional positions:
Ag: 0.000 0.000 0.000
Pd: 0.002 0.002 0.333
Pd: 0.329 0.329 0.553
Pd: 0.332 0.332 0.893
Pd: 0.668 0.668 0.107
Pd: 0.671 0.671 0.447
Pd: 0.998 0.998 0.667
Pb: 0.338 0.338 0.233
Pb: 0.662 0.662 0.767

# 6
Density functional theory data (GGA-PBE) for Gd2PPt after structural relaxation.

Computed properties:
Final energy, eV for the cell shown: -44.646
V, Å³ per cell: 97
Spin magnetization, μB/f.u.: 14.50

abc: 7.240 7.240 7.240
angles: 32.38 32.38 32.38
Fractional positions:
Gd: 0.247 0.247 0.247
Gd: 0.753 0.753 0.753
P: 0.500 0.500 0.500
Pt: 0.000 0.000 0.000

# 7
Density functional theory data (GGA-PBE) for BaLa2TaN4 after structural relaxation.

Computed properties:
V, Å³ per cell: 304
E_form (uncorrected), kJ/mol of formula units: -893
Spin magnetization, μB/f.u.: 0.00

abc: 6.796 6.796 12.796
angles: 90.00 90.00 149.06
Fractional positions:
Ba: 0.090 0.910 0.750
Ba: 0.910 0.090 0.250
La: 0.371 0.629 0.534
La: 0.371 0.629 0.966
La: 0.629 0.371 0.034
La: 0.629 0.371 0.466
Ta: 0.174 0.826 0.250
Ta: 0.826 0.174 0.750
N: 0.000 0.000 0.000
N: 0.000 0.000 0.500
N: 0.259 0.741 0.127
N: 0.259 0.741 0.373
N: 0.402 0.598 0.750
N: 0.598 0.402 0.250
N: 0.741 0.259 0.627
N: 0.741 0.259 0.873

# 8
Density functional theory data (GGA-PBE) for PmAl3CoCu after structural relaxation.

Computed properties:
Final energy, eV for the cell shown: -57.618
V, Å³ per cell: 212
Spin magnetization, μB/f.u.: 0.00

abc: 6.772 6.772 5.647
angles: 90.00 90.00 125.15
Fractional positions:
Pm: 0.233 0.767 0.750
Pm: 0.767 0.233 0.250
Al: 0.208 0.208 0.000
Al: 0.208 0.208 0.500
Al: 0.359 0.641 0.250
Al: 0.641 0.359 0.750
Al: 0.792 0.792 0.000
Al: 0.792 0.792 0.500
Co: 0.445 0.555 0.750
Co: 0.555 0.445 0.250
Cu: 0.147 0.853 0.250
Cu: 0.853 0.147 0.750

# 9
Density functional theory data (GGA-PBE) for Pa3AsN6 after structural relaxation.

Computed properties:
V, Å³ per cell: 296
E_form (uncorrected), kJ/mol of formula units: -1209
Spin magnetization, μB/f.u.: 0.00

abc: 7.213 7.213 5.823
angles: 90.00 90.00 102.70
Fractional positions:
Pa: 0.106 0.894 0.500
Pa: 0.195 0.416 0.549
Pa: 0.416 0.195 0.049
Pa: 0.584 0.805 0.549
Pa: 0.805 0.584 0.049
Pa: 0.894 0.106 0.000
As: 0.321 0.679 0.123
As: 0.679 0.321 0.623
N: 0.075 0.604 0.271
N: 0.144 0.175 0.279
N: 0.175 0.144 0.779
N: 0.283 0.717 0.657
N: 0.396 0.925 0.271
N: 0.464 0.536 0.309
N: 0.536 0.464 0.809
N: 0.604 0.075 0.771
N: 0.717 0.283 0.157
N: 0.825 0.856 0.279
N: 0.856 0.825 0.779
N: 0.925 0.396 0.771

# 10
Density functional theory data (GGA-PBE) for USeS after structural relaxation.

Computed properties:
V, Å³ per cell: 73
E_form (uncorrected), kJ/mol of formula units: -349
Spin magnetization, μB/f.u.: 2.00
Energy relative to the lowest polymorph listed for this composition, eV per formula unit: 0.28

abc: 4.685 4.685 4.685
angles: 60.00 60.00 60.00
Fractional positions:
U: 0.000 0.000 0.000
Se: 0.250 0.250 0.250
S: 0.750 0.750 0.750

# 11
Density functional theory data (GGA-PBE) for CsCaAuBr2 after structural relaxation.

Computed properties:
V, Å³ per cell: 193
E_form (uncorrected), kJ/mol of formula units: -668
Spin magnetization, μB/f.u.: 0.00

abc: 5.735 5.735 5.870
angles: 90.00 90.00 90.00
Fractional positions:
Cs: 0.000 0.000 0.000
Ca: 0.500 0.500 0.500
Au: 0.500 0.500 0.000
Br: 0.000 0.500 0.500
Br: 0.500 0.000 0.500

# 12
Density functional theory data (GGA-PBE) for OsPbIO4 after structural relaxation.

Computed properties:
V, Å³ per cell: 359
E_form (uncorrected), kJ/mol of formula units: -592
Spin magnetization, μB/f.u.: 0.00

abc: 7.176 7.176 7.963
angles: 101.08 101.08 64.04
Fractional positions:
Os: 0.137 0.137 0.245
Os: 0.863 0.863 0.755
Pb: 0.301 0.301 0.924
Pb: 0.699 0.699 0.076
I: 0.485 0.485 0.254
I: 0.515 0.515 0.746
O: 0.009 0.009 0.802
O: 0.023 0.361 0.126
O: 0.206 0.206 0.460
O: 0.361 0.023 0.126
O: 0.639 0.977 0.874
O: 0.794 0.794 0.540
O: 0.977 0.639 0.874
O: 0.991 0.991 0.198